[1]
This record from Alexandria describes UGeAs after structural relaxation. The functional is PBE-GGA.

abc: 4.854 4.854 5.826
angles: 90.00 90.00 120.00
Atoms (fractional coordinates):
As1 0.667 0.333 0.000
As2 0.333 0.667 0.000
U1 0.000 0.000 0.211
U2 0.000 0.000 0.789
Ge1 0.333 0.667 0.500
Ge2 0.667 0.333 0.500

Computed properties:
* SG: P6/mmm
* energy relative to the lowest polymorph listed for this composition: 0.369 eV/atom
* total energy: -0.514 Ry/atom
* energy relative to the elements: -0.1429 eV/atom


[2]
This record from Alexandria describes Pm6Te3Ir2Pb after structural relaxation. The functional is PBE-GGA.

abc: 4.281 9.057 9.990
angles: 106.67 102.37 90.00
Atoms (fractional coordinates):
Te1 0.839 0.167 0.679
Te2 0.161 0.833 0.321
Te3 0.500 0.500 0.000
Pm1 0.014 0.260 0.027
Pm2 0.680 0.560 0.359
Pm3 0.329 0.883 0.657
Pm4 0.671 0.117 0.343
Pm5 0.320 0.440 0.641
Pm6 0.986 0.740 0.973
Pb1 0.500 0.000 0.000
Ir1 0.168 0.332 0.336
Ir2 0.832 0.668 0.664

Computed properties:
* SG: C2/m
* total energy: -0.437 Ry/atom
* formation energy without anion corrections: -0.9999 eV per atom


Repeat the first record exactly.
This record from Alexandria describes UGeAs after structural relaxation. The functional is PBE-GGA.

abc: 4.854 4.854 5.826
angles: 90.00 90.00 120.00
Atoms (fractional coordinates):
As1 0.667 0.333 0.000
As2 0.333 0.667 0.000
U1 0.000 0.000 0.211
U2 0.000 0.000 0.789
Ge1 0.333 0.667 0.500
Ge2 0.667 0.333 0.500

Computed properties:
* SG: P6/mmm
* energy relative to the lowest polymorph listed for this composition: 0.369 eV/atom
* total energy: -0.514 Ry/atom
* energy relative to the elements: -0.1429 eV/atom


Q: What is the formula in the second record?
A: Pm6Te3Ir2Pb


Q: total energy of number 2 (Pm6Te3Ir2Pb)?
A: -0.437 Ry/atom


Q: Look up the total energy of the second one.
A: -0.437 Ry/atom